# 1
Ba3NCl2: relaxed, PBE.

DOS at the Fermi energy, states/eV per atom: 0.304
Relative energy among the computed polymorphs, eV per atom: 0.043
Formation energy without anion corrections, eV per atom: -1.408
SG: Cmc2_1, No. 36
Magnetic moment, μB/cell: 1.75
Crystal system: orthorhombic
Total energy, eV/atom: -4.37

```
data_Ba3NCl2
_space_group_name_H-M_alt 'P 1'
_space_group_IT_number 1
_space_group_name_Hall 'P 1'
_cell_length_a 7.5871
_cell_length_b 7.8954
_cell_length_c 7.9656
_cell_angle_alpha 119.71
_cell_angle_beta 90.00
_cell_angle_gamma 90.00
loop_
_atom_site_label
_atom_site_fract_x
_atom_site_fract_y
_atom_site_fract_z
Ba1 0.0349 0.5655 0.2517
Ba2 0.0349 0.3138 0.7483
Ba3 0.3802 0.1028 0.0000
Ba4 0.5349 0.6862 0.2517
Ba5 0.8802 0.8972 0.0000
Ba6 0.5349 0.4345 0.7483
Cl1 0.1991 0.6708 0.6736
Cl2 0.6991 0.3292 0.3264
Cl3 0.6991 0.0029 0.6736
Cl4 0.1991 0.9971 0.3264
N1 0.3117 0.4198 0.0000
N2 0.8117 0.5802 0.0000
```

# 2
BaNCl3: relaxed, PBE.

DOS at the Fermi energy, states/eV per atom: 0.235
Relative energy among the computed polymorphs, eV per atom: 0.000
Formation energy without anion corrections, eV per atom: -0.487
SG: Pm-3m, No. 221
Magnetic moment, μB/cell: 0.00
Crystal system: cubic
Total energy, eV/atom: -3.64

```
data_BaNCl3
_space_group_name_H-M_alt 'P 1'
_space_group_IT_number 1
_space_group_name_Hall 'P 1'
_cell_length_a 4.7599
_cell_length_b 4.7599
_cell_length_c 4.7599
_cell_angle_alpha 90.00
_cell_angle_beta 90.00
_cell_angle_gamma 90.00
loop_
_atom_site_label
_atom_site_fract_x
_atom_site_fract_y
_atom_site_fract_z
N1 0.0000 0.0000 0.0000
Ba1 0.5000 0.5000 0.5000
Cl1 0.0000 0.0000 0.5000
Cl2 0.5000 0.0000 0.0000
Cl3 0.0000 0.5000 0.0000
```

# 3
BaNCl3: relaxed, PBE.

DOS at the Fermi energy, states/eV per atom: 1.935
Relative energy among the computed polymorphs, eV per atom: 0.309
Formation energy without anion corrections, eV per atom: -0.177
SG: Pm-3m, No. 221
Magnetic moment, μB/cell: 4.00
Crystal system: cubic
Total energy, eV/atom: -3.33

```
data_BaNCl3
_space_group_name_H-M_alt 'P 1'
_space_group_IT_number 1
_space_group_name_Hall 'P 1'
_cell_length_a 6.1568
_cell_length_b 6.1568
_cell_length_c 6.1568
_cell_angle_alpha 90.00
_cell_angle_beta 90.00
_cell_angle_gamma 90.00
loop_
_atom_site_label
_atom_site_fract_x
_atom_site_fract_y
_atom_site_fract_z
Cl1 0.0000 0.5000 0.0000
Cl2 0.0000 0.0000 0.5000
Cl3 0.5000 0.0000 0.0000
Ba1 0.0000 0.0000 0.0000
N1 0.5000 0.5000 0.5000
```

# 4
Ba8N3Cl2: relaxed, PBE.

DOS at the Fermi energy, states/eV per atom: 0.572
Formation energy without anion corrections, eV per atom: -0.783
SG: C2/m, No. 12
Magnetic moment, μB/cell: 1.78
Crystal system: monoclinic
Total energy, eV/atom: -4.17

```
data_Ba8N3Cl2
_space_group_name_H-M_alt 'P 1'
_space_group_IT_number 1
_space_group_name_Hall 'P 1'
_cell_length_a 7.2737
_cell_length_b 8.2347
_cell_length_c 9.0218
_cell_angle_alpha 117.15
_cell_angle_beta 105.97
_cell_angle_gamma 90.00
loop_
_atom_site_label
_atom_site_fract_x
_atom_site_fract_y
_atom_site_fract_z
Cl1 0.6782 0.7460 0.4921
Cl2 0.3218 0.2540 0.5079
Ba1 0.6017 0.1353 0.7962
Ba2 0.3983 0.8647 0.2038
Ba3 0.0992 0.9019 0.8037
Ba4 0.6017 0.6609 0.7962
Ba5 0.0748 0.3988 0.7975
Ba6 0.3983 0.3391 0.2038
Ba7 0.9008 0.0981 0.1963
Ba8 0.9252 0.6012 0.2025
N1 0.5000 0.0000 0.0000
N2 0.0000 0.7482 0.0000
N3 0.0000 0.2518 0.0000
```

# 5
Ba2N2Cl: relaxed, PBE.

DOS at the Fermi energy, states/eV per atom: 0.656
Relative energy among the computed polymorphs, eV per atom: 0.269
Formation energy without anion corrections, eV per atom: -0.917
SG: P4/mbm, No. 127
Magnetic moment, μB/cell: 0.76
Crystal system: tetragonal
Total energy, eV/atom: -5.39

```
data_Ba2N2Cl
_space_group_name_H-M_alt 'P 1'
_space_group_IT_number 1
_space_group_name_Hall 'P 1'
_cell_length_a 7.7648
_cell_length_b 7.7648
_cell_length_c 3.6356
_cell_angle_alpha 90.00
_cell_angle_beta 90.00
_cell_angle_gamma 90.00
loop_
_atom_site_label
_atom_site_fract_x
_atom_site_fract_y
_atom_site_fract_z
Ba1 0.1875 0.6875 0.5000
Ba2 0.6875 0.8125 0.5000
Ba3 0.8125 0.3125 0.5000
Ba4 0.3125 0.1875 0.5000
N1 0.9393 0.5607 0.0000
N2 0.5607 0.0607 0.0000
N3 0.4393 0.9393 0.0000
N4 0.0607 0.4393 0.0000
Cl1 0.0000 0.0000 0.0000
Cl2 0.5000 0.5000 0.0000
```

# 6
BaNCl2: relaxed, PBE.

DOS at the Fermi energy, states/eV per atom: 0.000
Relative energy among the computed polymorphs, eV per atom: 0.068
Formation energy without anion corrections, eV per atom: -0.552
SG: C2/m, No. 12
Magnetic moment, μB/cell: 5.96
Crystal system: monoclinic
Total energy, eV/atom: -4.04

```
data_BaNCl2
_space_group_name_H-M_alt 'P 1'
_space_group_IT_number 1
_space_group_name_Hall 'P 1'
_cell_length_a 4.8521
_cell_length_b 8.3728
_cell_length_c 7.7408
_cell_angle_alpha 88.20
_cell_angle_beta 108.26
_cell_angle_gamma 90.00
loop_
_atom_site_label
_atom_site_fract_x
_atom_site_fract_y
_atom_site_fract_z
N1 0.4831 0.2562 0.9662
N2 0.5169 0.7438 0.0338
Ba1 0.2674 0.2437 0.5349
Ba2 0.7326 0.7563 0.4651
Cl1 0.1509 0.9415 0.3019
Cl2 0.8491 0.0585 0.6981
Cl3 0.6647 0.4056 0.3294
Cl4 0.3353 0.5944 0.6706
```